(1)
The following is a DFT calculation (PBE-GGA) of crystalline In4Ga2Bi3 at its relaxed geometry.

As for the density: 7.99 Mg/m³. The density of states at the Fermi level comes out at 3.2 states/eV/f.u. The space group is P-1, No. 2. The uncorrected energy is -3.141 eV per atom.

Cell: 5.452 7.155 7.445 Å, 71.29 68.67 88.68°
Positions (direct):
In: 0.045 0.323 0.393
In: 0.273 0.674 0.960
In: 0.727 0.326 0.040
In: 0.955 0.677 0.607
Ga: 0.148 0.983 0.192
Ga: 0.852 0.017 0.808
Bi: 0.360 0.300 0.775
Bi: 0.500 0.000 0.500
Bi: 0.640 0.700 0.225

***

(2)
The following is a DFT calculation (PBE-GGA) of crystalline InGaBi2 at its relaxed geometry.

As for the density: 8.16 Mg/m³. The density of states at the Fermi level comes out at 1.6 states/eV/f.u. The space group is R3m, No. 160. For the distance to the lowest polymorph of the same formula, the calculation gives 81.0 meV/atom. The uncorrected energy is -3.282 eV per atom.

Cell: 6.810 6.810 6.810 Å, 40.96 40.96 40.96°
Positions (direct):
In: 0.000 0.000 0.000
Ga: 0.829 0.829 0.829
Bi: 0.235 0.235 0.235
Bi: 0.423 0.423 0.423

***

(3)
The following is a DFT calculation (PBE-GGA) of crystalline InGaBi at its relaxed geometry.

As for the density: 8.00 Mg/m³. The density of states at the Fermi level comes out at 1.8 states/eV/f.u. The space group is Cm, No. 8. For the distance to the lowest polymorph of the same formula, the calculation gives 25.7 meV/atom. The uncorrected energy is -3.153 eV per atom.

Cell: 4.411 4.411 4.440 Å, 102.41 102.41 80.14°
Positions (direct):
In: 0.000 0.000 0.000
Ga: 0.309 0.309 0.664
Bi: 0.636 0.636 0.352

***

- Look up the uncorrected energy of the first one.
  -3.141 eV per atom

***

What did the second record say?
The following is a DFT calculation (PBE-GGA) of crystalline InGaBi2 at its relaxed geometry.

As for the density: 8.16 Mg/m³. The density of states at the Fermi level comes out at 1.6 states/eV/f.u. The space group is R3m, No. 160. For the distance to the lowest polymorph of the same formula, the calculation gives 81.0 meV/atom. The uncorrected energy is -3.282 eV per atom.

Cell: 6.810 6.810 6.810 Å, 40.96 40.96 40.96°
Positions (direct):
In: 0.000 0.000 0.000
Ga: 0.829 0.829 0.829
Bi: 0.235 0.235 0.235
Bi: 0.423 0.423 0.423